(1)
Material: RbCr2SI
Method: DFT, PBE
State: optimized geometry

* crystal system: tetragonal
* magnetization: 10.000 μB/cell
* DOS(E_F): 1.0482 states/eV/atom
* uncorrected formation energy: 1.661 eV/atom
* total energy: -3.517 eV/atom

```
data_RbCr2SI
_chemical_formula_sum 'Rb1 Cr2 S1 I1'
_space_group_name_H-M_alt 'P 4/m m m'
_space_group_IT_number 123
_space_group_name_Hall '-P 4 2'
_cell_length_a 6.8226
_cell_length_b 6.8226
_cell_length_c 6.3439
_cell_angle_alpha 90.00
_cell_angle_beta 90.00
_cell_angle_gamma 90.00
loop_
_atom_site_label
_atom_site_fract_x
_atom_site_fract_y
_atom_site_fract_z
_atom_site_occupancy
Rb1 0.0000 0.0000 0.0000 1
Cr1 0.0000 0.5000 0.0000 1
S1 0.5000 0.5000 0.5000 1
I1 0.0000 0.0000 0.5000 1
```

***

(2)
Material: Rb2CrSI6
Method: DFT, PBE
State: optimized geometry

* crystal system: tetragonal
* magnetization: 9.126 μB/cell
* DOS(E_F): 0.5971 states/eV/atom
* uncorrected formation energy: -0.551 eV/atom
* total energy: -3.050 eV/atom

```
data_Rb2CrSI6
_chemical_formula_sum 'Rb4 Cr2 S2 I12'
_space_group_name_H-M_alt 'I 4/m m m'
_space_group_IT_number 139
_space_group_name_Hall '-I 4 2'
_cell_length_a 8.5787
_cell_length_b 8.5787
_cell_length_c 11.0446
_cell_angle_alpha 90.00
_cell_angle_beta 90.00
_cell_angle_gamma 90.00
loop_
_atom_site_label
_atom_site_fract_x
_atom_site_fract_y
_atom_site_fract_z
_atom_site_occupancy
Rb1 0.0000 0.5000 0.2500 1
Cr1 0.0000 0.0000 0.0000 1
S1 0.0000 0.0000 0.5000 1
I1 0.0000 0.0000 0.2605 1
I2 0.2261 0.2261 0.0000 1
```

***

(3)
Material: RbCrSb2I
Method: DFT, PBE
State: optimized geometry

* crystal system: tetragonal
* magnetization: 1.932 μB/cell
* DOS(E_F): 0.4091 states/eV/atom
* uncorrected formation energy: -0.114 eV/atom
* total energy: -4.191 eV/atom

```
data_RbCrSb2I
_chemical_formula_sum 'Rb1 Cr1 Sb2 I1'
_space_group_name_H-M_alt 'P 4/m m m'
_space_group_IT_number 123
_space_group_name_Hall '-P 4 2'
_cell_length_a 5.1420
_cell_length_b 5.1420
_cell_length_c 6.5147
_cell_angle_alpha 90.00
_cell_angle_beta 90.00
_cell_angle_gamma 90.00
loop_
_atom_site_label
_atom_site_fract_x
_atom_site_fract_y
_atom_site_fract_z
_atom_site_occupancy
Rb1 0.0000 0.0000 0.0000 1
Cr1 0.5000 0.5000 0.5000 1
Sb1 0.0000 0.5000 0.5000 1
I1 0.5000 0.5000 0.0000 1
```